1:
Ac2Zn3Hg2: optimized geometry, GGA-PBE. Values from VASP.

Properties
Density of states at the Fermi level ... 4.889 states/eV per cell

```
&SYSTEM
  ibrav = 0, nat = 7, ntyp = 3
/
ATOMIC_SPECIES
Ac 227.00 Ac.upf
Zn 65.41 Zn.upf
Hg 200.59 Hg.upf
CELL_PARAMETERS angstrom
5.633 -2.437 0.000
5.633 2.437 0.000
-2.472 0.000 6.524
ATOMIC_POSITIONS angstrom
Ac 0.991 0.000 1.752
Ac 7.802 0.000 4.772
Zn 4.502 0.000 0.638
Zn 4.397 0.000 3.262
Zn 4.291 0.000 5.886
Hg -0.094 0.000 5.051
Hg 8.888 0.000 1.473
```

2:
Ac2Zn3Hg2: optimized geometry, GGA-PBE. Values from VASP.

Properties
Density of states at the Fermi level ... 12.411 states/eV per cell

```
&SYSTEM
  ibrav = 0, nat = 14, ntyp = 3
/
ATOMIC_SPECIES
Ac 227.00 Ac.upf
Zn 65.41 Zn.upf
Hg 200.59 Hg.upf
CELL_PARAMETERS angstrom
2.277 -10.077 0.000
2.277 10.077 0.000
0.000 0.000 7.916
ATOMIC_POSITIONS angstrom
Ac 2.277 8.877 5.937
Ac 2.277 6.915 1.979
Ac 2.277 -6.915 5.937
Ac 2.277 -8.877 1.979
Zn 2.277 5.537 5.937
Zn 2.277 1.041 4.647
Zn 2.277 1.041 7.226
Zn 2.277 -1.041 0.689
Zn 2.277 -1.041 3.269
Zn 2.277 -5.537 1.979
Hg 2.277 3.668 0.429
Hg 2.277 3.668 3.529
Hg 2.277 -3.668 4.387
Hg 2.277 -3.668 7.487
```

Here are the energies relative to the best structure, in kJ/mol of atoms: 1 0.0; 2 3.1.

1:
Ac2Zn5Hg: optimized geometry, GGA-PBE. Values from VASP.

Properties
Density of states at the Fermi level ... 7.893 states/eV per cell

```
&SYSTEM
  ibrav = 0, nat = 8, ntyp = 3
/
ATOMIC_SPECIES
Ac 227.00 Ac.upf
Zn 65.41 Zn.upf
Hg 200.59 Hg.upf
CELL_PARAMETERS angstrom
-3.254 3.254 4.715
3.254 -3.254 4.715
3.254 3.254 -4.715
ATOMIC_POSITIONS angstrom
Ac 3.254 0.000 0.000
Ac 0.000 3.254 0.000
Zn 1.954 1.954 -2.361
Zn 1.300 -1.300 2.354
Zn -1.300 1.300 2.354
Zn 1.300 1.300 2.354
Zn 0.000 0.000 4.504
Hg 0.000 0.000 7.482
```

2:
Ac2Zn5Hg: optimized geometry, GGA-PBE. Values from VASP.

Properties
Density of states at the Fermi level ... 12.250 states/eV per cell

```
&SYSTEM
  ibrav = 0, nat = 16, ntyp = 3
/
ATOMIC_SPECIES
Ac 227.00 Ac.upf
Zn 65.41 Zn.upf
Hg 200.59 Hg.upf
CELL_PARAMETERS angstrom
2.300 -8.697 0.000
2.300 8.697 0.000
0.000 0.000 9.387
ATOMIC_POSITIONS angstrom
Ac 0.000 0.000 0.000
Ac 0.000 0.000 4.694
Ac 2.300 5.082 7.041
Ac 2.300 -5.082 2.347
Zn 2.300 5.533 1.029
Zn 2.300 5.533 3.664
Zn 2.300 2.691 0.109
Zn 2.300 2.691 4.585
Zn 2.300 1.741 7.041
Zn 2.300 -1.741 2.347
Zn 2.300 -2.691 4.803
Zn 2.300 -2.691 9.279
Zn 2.300 -5.533 5.723
Zn 2.300 -5.533 8.358
Hg 2.300 0.997 2.347
Hg 2.300 -0.997 7.041
```

Here are the energies relative to the best structure, in kJ/mol of atoms: 1 15.6; 2 0.0.

1:
Ac2Zn2Hg3: optimized geometry, GGA-PBE. Values from VASP.

Properties
Density of states at the Fermi level ... 5.560 states/eV per cell

```
&SYSTEM
  ibrav = 0, nat = 7, ntyp = 3
/
ATOMIC_SPECIES
Ac 227.00 Ac.upf
Zn 65.41 Zn.upf
Hg 200.59 Hg.upf
CELL_PARAMETERS angstrom
5.907 -2.358 0.000
5.907 2.358 0.000
-1.089 0.000 6.847
ATOMIC_POSITIONS angstrom
Ac 1.193 0.000 2.180
Ac 9.531 0.000 4.667
Zn 4.574 0.000 2.364
Zn 6.151 0.000 4.483
Hg 1.362 0.000 5.718
Hg 5.907 0.000 0.000
Hg 9.363 0.000 1.130
```

2:
Ac2Zn2Hg3: optimized geometry, GGA-PBE. Values from VASP.

Properties
Density of states at the Fermi level ... 14.344 states/eV per cell

```
&SYSTEM
  ibrav = 0, nat = 14, ntyp = 3
/
ATOMIC_SPECIES
Ac 227.00 Ac.upf
Zn 65.41 Zn.upf
Hg 200.59 Hg.upf
CELL_PARAMETERS angstrom
2.349 -10.533 0.000
2.349 10.533 0.000
0.000 0.000 7.675
ATOMIC_POSITIONS angstrom
Ac 2.349 9.426 5.756
Ac 2.349 7.005 1.919
Ac 2.349 -7.005 5.756
Ac 2.349 -9.426 1.919
Zn 2.349 3.900 0.555
Zn 2.349 3.900 3.283
Zn 2.349 -3.900 4.392
Zn 2.349 -3.900 7.120
Hg 2.349 5.914 5.756
Hg 2.349 1.387 4.323
Hg 2.349 1.387 7.190
Hg 2.349 -1.387 0.486
Hg 2.349 -1.387 3.352
Hg 2.349 -5.914 1.919
```

Here are the energies relative to the best structure, in kJ/mol of atoms: 1 1.0; 2 0.0.

1:
Ac3ZnHg: optimized geometry, GGA-PBE. Values from VASP.

Properties
Density of states at the Fermi level ... 22.128 states/eV per cell

```
&SYSTEM
  ibrav = 0, nat = 20, ntyp = 3
/
ATOMIC_SPECIES
Ac 227.00 Ac.upf
Zn 65.41 Zn.upf
Hg 200.59 Hg.upf
CELL_PARAMETERS angstrom
8.496 -5.801 0.000
8.496 5.801 0.000
-2.432 0.000 7.468
ATOMIC_POSITIONS angstrom
Ac 1.670 1.500 4.328
Ac 4.601 3.607 7.441
Ac 8.743 3.607 3.761
Ac 2.886 -1.500 0.594
Ac 5.581 0.464 2.891
Ac 4.366 -0.464 6.625
Ac 10.194 0.464 0.843
Ac 8.979 -0.464 4.576
Ac 11.674 1.500 6.873
Ac 5.817 -3.607 3.707
Ac 9.959 -3.607 0.027
Ac 12.890 -1.500 3.139
Zn 4.482 1.639 0.277
Zn 3.266 -1.639 4.011
Zn 11.294 1.639 3.457
Zn 10.078 -1.639 7.191
Hg 6.672 5.422 5.601
Hg 6.672 1.986 5.601
Hg 7.888 -1.986 1.867
Hg 7.888 -5.422 1.867
```

2:
Ac3ZnHg: optimized geometry, GGA-PBE. Values from VASP.

Properties
Density of states at the Fermi level ... 12.903 states/eV per cell

```
&SYSTEM
  ibrav = 0, nat = 10, ntyp = 3
/
ATOMIC_SPECIES
Ac 227.00 Ac.upf
Zn 65.41 Zn.upf
Hg 200.59 Hg.upf
CELL_PARAMETERS angstrom
2.841 -10.701 0.000
2.841 10.701 0.000
0.000 0.000 5.677
ATOMIC_POSITIONS angstrom
Ac 2.841 9.282 4.258
Ac 2.841 5.364 4.258
Ac 2.841 1.464 4.258
Ac 2.841 -1.464 1.419
Ac 2.841 -5.364 1.419
Ac 2.841 -9.282 1.419
Zn 2.841 7.397 1.419
Zn 2.841 -7.397 4.258
Hg 2.841 3.362 1.419
Hg 2.841 -3.362 4.258
```

Here are the energies relative to the best structure, in kJ/mol of atoms: 1 9.3; 2 0.0.

1:
AcZnHg4: optimized geometry, GGA-PBE. Values from VASP.

Properties
Density of states at the Fermi level ... 7.504 states/eV per cell

```
&SYSTEM
  ibrav = 0, nat = 12, ntyp = 3
/
ATOMIC_SPECIES
Ac 227.00 Ac.upf
Zn 65.41 Zn.upf
Hg 200.59 Hg.upf
CELL_PARAMETERS angstrom
2.376 -8.774 0.000
2.376 8.774 0.000
0.000 0.000 7.339
ATOMIC_POSITIONS angstrom
Ac 2.376 6.617 5.505
Ac 2.376 -6.617 1.835
Zn 2.376 4.802 1.835
Zn 2.376 -4.802 5.505
Hg 2.376 7.584 1.835
Hg 2.376 3.152 4.022
Hg 2.376 3.152 6.988
Hg 2.376 0.000 0.000
Hg 2.376 0.000 3.670
Hg 2.376 -3.152 0.352
Hg 2.376 -3.152 3.318
Hg 2.376 -7.584 5.505
```

2:
AcZnHg4: optimized geometry, GGA-PBE. Values from VASP.

Properties
Density of states at the Fermi level ... 7.283 states/eV per cell

```
&SYSTEM
  ibrav = 0, nat = 12, ntyp = 3
/
ATOMIC_SPECIES
Ac 227.00 Ac.upf
Zn 65.41 Zn.upf
Hg 200.59 Hg.upf
CELL_PARAMETERS angstrom
2.511 -8.838 0.000
2.511 8.838 0.000
0.000 0.000 6.973
ATOMIC_POSITIONS angstrom
Ac 2.511 6.346 3.487
Ac 2.511 -6.346 0.000
Zn 2.511 3.258 2.043
Zn 2.511 -3.258 5.530
Hg 2.511 7.953 6.846
Hg 2.511 4.877 6.751
Hg 2.511 2.522 4.712
Hg 2.511 0.532 1.371
Hg 2.511 -0.532 4.858
Hg 2.511 -2.522 1.226
Hg 2.511 -4.877 3.265
Hg 2.511 -7.953 3.360
```

Here are the energies relative to the best structure, in kJ/mol of atoms: 1 0.0; 2 0.6.

1:
Ac4Zn3Hg: optimized geometry, GGA-PBE. Values from VASP.

Properties
Density of states at the Fermi level ... 8.844 states/eV per cell

```
&SYSTEM
  ibrav = 0, nat = 8, ntyp = 3
/
ATOMIC_SPECIES
Ac 227.00 Ac.upf
Zn 65.41 Zn.upf
Hg 200.59 Hg.upf
CELL_PARAMETERS angstrom
4.044 0.000 0.000
0.000 4.839 0.000
0.000 0.000 12.774
ATOMIC_POSITIONS angstrom
Ac 0.000 0.000 0.000
Ac 0.000 2.419 3.741
Ac 2.022 0.000 6.271
Ac 2.022 2.419 10.193
Zn 0.000 2.419 7.338
Zn 2.022 0.000 2.662
Zn 2.022 2.419 1.057
Hg 0.000 0.000 9.061
```

2:
Ac4Zn3Hg: optimized geometry, GGA-PBE. Values from VASP.

Properties
Density of states at the Fermi level ... 10.273 states/eV per cell

```
&SYSTEM
  ibrav = 0, nat = 8, ntyp = 3
/
ATOMIC_SPECIES
Ac 227.00 Ac.upf
Zn 65.41 Zn.upf
Hg 200.59 Hg.upf
CELL_PARAMETERS angstrom
3.944 0.000 0.000
0.000 3.944 0.000
0.000 0.000 15.794
ATOMIC_POSITIONS angstrom
Ac 0.000 0.000 1.956
Ac 0.000 0.000 5.777
Ac 0.000 0.000 10.017
Ac 0.000 0.000 13.838
Zn 1.972 1.972 0.000
Zn 1.972 1.972 3.861
Zn 1.972 1.972 11.933
Hg 1.972 1.972 7.897
```

Here are the energies relative to the best structure, in kJ/mol of atoms: 1 3.2; 2 0.0.

1:
Ac4Ho: optimized geometry, GGA-PBE. Values from VASP.

Properties
Density of states at the Fermi level ... 9.754 states/eV per cell

```
&SYSTEM
  ibrav = 0, nat = 5, ntyp = 2
/
ATOMIC_SPECIES
Ac 227.00 Ac.upf
Ho 164.93 Ho.upf
CELL_PARAMETERS angstrom
-5.121 5.121 2.028
5.121 -5.121 2.028
5.121 5.121 -2.028
ATOMIC_POSITIONS angstrom
Ac 2.873 0.878 0.000
Ac 4.243 -2.248 2.028
Ac 0.878 7.369 0.000
Ac 2.248 4.243 2.028
Ho 0.000 0.000 2.028
```

2:
Ac4Ho: optimized geometry, GGA-PBE. Values from VASP.

Properties
Density of states at the Fermi level ... 8.862 states/eV per cell

```
&SYSTEM
  ibrav = 0, nat = 5, ntyp = 2
/
ATOMIC_SPECIES
Ac 227.00 Ac.upf
Ho 164.93 Ho.upf
CELL_PARAMETERS angstrom
6.254 0.000 0.000
0.000 6.254 0.000
0.000 0.000 6.254
ATOMIC_POSITIONS angstrom
Ac 0.000 0.000 0.000
Ac 0.000 3.127 3.127
Ac 3.127 0.000 3.127
Ac 3.127 3.127 0.000
Ho 3.127 3.127 3.127
```

Here are the energies relative to the best structure, in kJ/mol of atoms: 1 0.0; 2 43.9.

1:
Ac5Ho: optimized geometry, GGA-PBE. Values from VASP.

Properties
Density of states at the Fermi level ... 10.748 states/eV per cell

```
&SYSTEM
  ibrav = 0, nat = 6, ntyp = 2
/
ATOMIC_SPECIES
Ac 227.00 Ac.upf
Ho 164.93 Ho.upf
CELL_PARAMETERS angstrom
2.764 -8.324 0.000
2.764 8.324 0.000
0.000 0.000 5.544
ATOMIC_POSITIONS angstrom
Ac 0.000 0.000 0.000
Ac 2.764 5.614 2.772
Ac 2.764 2.736 0.000
Ac 2.764 -2.736 0.000
Ac 2.764 -5.614 2.772
Ho 2.764 0.000 2.772
```

2:
Ac5Ho: optimized geometry, GGA-PBE. Values from VASP.

Properties
Density of states at the Fermi level ... 11.128 states/eV per cell

```
&SYSTEM
  ibrav = 0, nat = 6, ntyp = 2
/
ATOMIC_SPECIES
Ac 227.00 Ac.upf
Ho 164.93 Ho.upf
CELL_PARAMETERS angstrom
7.197 -1.983 0.000
7.197 1.983 0.000
-2.336 0.000 9.005
ATOMIC_POSITIONS angstrom
Ac 0.000 0.000 0.000
Ac -0.696 0.000 5.568
Ac 3.088 0.000 6.100
Ac 4.856 0.000 2.427
Ac 8.758 0.000 3.000
Ho 8.099 0.000 8.532
```

Here are the energies relative to the best structure, in kJ/mol of atoms: 1 0.0; 2 1.6.

1:
AcHo4: optimized geometry, GGA-PBE. Values from VASP.

Properties
Density of states at the Fermi level ... 9.027 states/eV per cell

```
&SYSTEM
  ibrav = 0, nat = 5, ntyp = 2
/
ATOMIC_SPECIES
Ac 227.00 Ac.upf
Ho 164.93 Ho.upf
CELL_PARAMETERS angstrom
5.858 0.000 0.000
0.000 5.858 0.000
0.000 0.000 5.858
ATOMIC_POSITIONS angstrom
Ac 0.000 0.000 0.000
Ho 0.000 0.000 2.929
Ho 0.000 2.929 0.000
Ho 2.929 0.000 0.000
Ho 2.929 2.929 2.929
```

2:
AcHo4: optimized geometry, GGA-PBE. Values from VASP.

Properties
Density of states at the Fermi level ... 7.874 states/eV per cell

```
&SYSTEM
  ibrav = 0, nat = 5, ntyp = 2
/
ATOMIC_SPECIES
Ac 227.00 Ac.upf
Ho 164.93 Ho.upf
CELL_PARAMETERS angstrom
-1.818 1.818 12.677
1.818 -1.818 12.677
1.818 1.818 -12.677
ATOMIC_POSITIONS angstrom
Ac 0.000 0.000 0.000
Ho 0.000 0.000 5.125
Ho 0.000 0.000 9.955
Ho 0.000 0.000 15.398
Ho 0.000 0.000 20.229
```

Here are the energies relative to the best structure, in kJ/mol of atoms: 1 95.0; 2 0.0.

1:
Ac2HoIn: optimized geometry, GGA-PBE. Values from VASP.

Properties
Density of states at the Fermi level ... 4.238 states/eV per cell

```
&SYSTEM
  ibrav = 0, nat = 4, ntyp = 3
/
ATOMIC_SPECIES
Ac 227.00 Ac.upf
Ho 164.93 Ho.upf
In 114.82 In.upf
CELL_PARAMETERS angstrom
1.884 1.088 12.867
-1.884 1.088 12.867
0.000 -2.175 12.867
ATOMIC_POSITIONS angstrom
Ac 0.000 0.000 3.452
Ac 0.000 0.000 35.150
Ho 0.000 0.000 19.301
In 0.000 0.000 0.000
```

2:
Ac2HoIn: optimized geometry, GGA-PBE. Values from VASP.

Properties
Density of states at the Fermi level ... 5.199 states/eV per cell

```
&SYSTEM
  ibrav = 0, nat = 4, ntyp = 3
/
ATOMIC_SPECIES
Ac 227.00 Ac.upf
Ho 164.93 Ho.upf
In 114.82 In.upf
CELL_PARAMETERS angstrom
4.169 0.000 0.000
0.000 4.169 0.000
0.000 0.000 8.392
ATOMIC_POSITIONS angstrom
Ac 0.000 0.000 1.933
Ac 0.000 0.000 6.459
Ho 2.085 2.085 4.196
In 2.085 2.085 0.000
```

3:
Ac2HoIn: optimized geometry, GGA-PBE. Values from VASP.

Properties
Density of states at the Fermi level ... 6.587 states/eV per cell

```
&SYSTEM
  ibrav = 0, nat = 4, ntyp = 3
/
ATOMIC_SPECIES
Ac 227.00 Ac.upf
Ho 164.93 Ho.upf
In 114.82 In.upf
CELL_PARAMETERS angstrom
5.206 0.000 0.000
0.000 5.206 0.000
0.000 0.000 5.174
ATOMIC_POSITIONS angstrom
Ac 0.000 2.603 0.000
Ac 2.603 0.000 0.000
Ho 0.000 0.000 2.587
In 2.603 2.603 2.587
```

4:
Ac2HoIn: optimized geometry, GGA-PBE. Values from VASP.

Properties
Density of states at the Fermi level ... 6.370 states/eV per cell

```
&SYSTEM
  ibrav = 0, nat = 4, ntyp = 3
/
ATOMIC_SPECIES
Ac 227.00 Ac.upf
Ho 164.93 Ho.upf
In 114.82 In.upf
CELL_PARAMETERS angstrom
0.000 4.143 4.143
4.143 0.000 4.143
4.143 4.143 0.000
ATOMIC_POSITIONS angstrom
Ac 2.071 2.071 2.071
Ac 6.214 6.214 6.214
Ho 0.000 0.000 0.000
In 4.143 4.143 4.143
```

Here are the energies relative to the best structure, in kJ/mol of atoms: 1 30.6; 2 2.4; 3 0.0; 4 6.2.

1:
Ac2HoIn3: optimized geometry, GGA-PBE. Values from VASP.

Properties
Density of states at the Fermi level ... 4.065 states/eV per cell

```
&SYSTEM
  ibrav = 0, nat = 6, ntyp = 3
/
ATOMIC_SPECIES
Ac 227.00 Ac.upf
Ho 164.93 Ho.upf
In 114.82 In.upf
CELL_PARAMETERS angstrom
3.958 0.000 0.000
0.000 3.958 0.000
0.000 0.000 12.134
ATOMIC_POSITIONS angstrom
Ac 0.000 0.000 2.154
Ac 0.000 0.000 9.980
Ho 0.000 0.000 6.067
In 1.979 1.979 0.000
In 1.979 1.979 4.382
In 1.979 1.979 7.751
```

2:
Ac2HoIn3: optimized geometry, GGA-PBE. Values from VASP.

Properties
Density of states at the Fermi level ... 13.065 states/eV per cell

```
&SYSTEM
  ibrav = 0, nat = 12, ntyp = 3
/
ATOMIC_SPECIES
Ac 227.00 Ac.upf
Ho 164.93 Ho.upf
In 114.82 In.upf
CELL_PARAMETERS angstrom
6.632 -5.273 0.000
6.632 5.273 0.000
0.000 0.000 5.911
ATOMIC_POSITIONS angstrom
Ac 4.776 3.098 4.433
Ac 8.487 3.098 4.433
Ac 4.776 -3.098 1.478
Ac 8.487 -3.098 1.478
Ho 6.632 1.096 1.478
Ho 6.632 -1.096 4.433
In 6.632 4.332 1.478
In 4.052 0.000 0.000
In 4.052 0.000 2.955
In 9.212 0.000 0.000
In 9.212 0.000 2.955
In 6.632 -4.332 4.433
```

Here are the energies relative to the best structure, in kJ/mol of atoms: 1 0.0; 2 19.7.